1.
# Cu4Ag (PBE, optimized geometry)
data_Cu4Ag
_cell_length_a 2.680
_cell_length_b 3.594
_cell_length_c 13.489
_cell_angle_alpha 90.00
_cell_angle_beta 90.00
_cell_angle_gamma 90.00
_space_group_name_H-M_alt 'P m m m'
_space_group_IT_number 47
_space_group_name_Hall '-P 2 2'
loop_
_atom_site_label
_atom_site_type_symbol
_atom_site_fract_x
_atom_site_fract_y
_atom_site_fract_z
Cu1 Cu 0.000 0.000 0.000
Cu2 Cu 0.000 0.000 0.187
Cu3 Cu 0.500 0.500 0.093
Cu4 Cu 0.500 0.500 0.279
Cu5 Cu 0.500 0.500 0.500
Ag1 Ag 0.000 0.000 0.390
# - Energy relative to the elements: 0.062 eV per atom
# - Distance to the lowest polymorph of the same formula: 18 meV per atom

***

2.
# CdAgTe (PBE, optimized geometry)
data_CdAgTe
_cell_length_a 6.158
_cell_length_b 4.323
_cell_length_c 10.798
_cell_angle_alpha 90.00
_cell_angle_beta 90.00
_cell_angle_gamma 90.00
_space_group_name_H-M_alt 'P n m a'
_space_group_IT_number 62
_space_group_name_Hall '-P 2ac 2n'
loop_
_atom_site_label
_atom_site_type_symbol
_atom_site_fract_x
_atom_site_fract_y
_atom_site_fract_z
Cd1 Cd 0.237 0.250 0.103
Ag1 Ag 0.021 0.250 0.751
Te1 Te 0.241 0.250 0.400
# - Distance to the lowest polymorph of the same formula: 32 meV per atom

***

3.
# NpRe (PBE, optimized geometry)
data_NpRe
_cell_length_a 4.5243
_cell_length_b 4.5243
_cell_length_c 5.4456
_cell_angle_alpha 90.00
_cell_angle_beta 90.00
_cell_angle_gamma 120.00
_space_group_name_H-M_alt 'P 63/m m c'
_space_group_IT_number 194
_space_group_name_Hall '-P 6c 2c'
loop_
_atom_site_label
_atom_site_type_symbol
_atom_site_fract_x
_atom_site_fract_y
_atom_site_fract_z
Np1 Np 0.3333 0.6667 0.2500
Re1 Re 0.3333 0.6667 0.7500
# - Energy relative to the elements: 1.279 eV per atom
# - Distance to the lowest polymorph of the same formula: 866 meV per atom